DFT (PBE) results for a relaxed structure of LaPS2I.

**ΔE_f (raw)**: -0.01 eV/atom
**Polymorph energy (0 for the lowest one)**: 0.000 eV/atom

extended XYZ file:
```
5
Lattice="5.010 0.000 0.000 0.000 5.010 0.000 0.000 0.000 5.232" Properties=species:S:1:pos:R:3 pbc="T T T"
La 0.000 0.000 0.000
P 2.505 2.505 0.000
S 0.000 2.505 2.616
S 2.505 0.000 2.616
I 2.505 2.505 2.616
```

---

DFT (PBE) results for a relaxed structure of La8PS3I4.

**ΔE_f (raw)**: -1.57 eV/atom

extended XYZ file:
```
16
Lattice="4.210 2.431 7.878 -4.210 2.431 7.878 0.000 -4.862 7.878" Properties=species:S:1:pos:R:3 pbc="T T T"
La -2.115 -1.221 13.352
La 0.000 0.000 5.463
La 0.000 -2.442 10.283
La -2.115 1.221 10.283
La 2.115 -1.221 13.352
La 0.000 2.442 13.352
La 0.000 0.000 18.171
La 2.115 1.221 10.283
P 0.000 0.000 11.817
S -4.210 0.000 11.817
S -2.105 1.215 3.939
S 2.105 1.215 3.939
I 0.000 0.000 0.000
I -2.105 -1.215 7.878
I -2.105 1.215 15.756
I 0.000 2.431 7.878
```

---

DFT (PBE) results for a relaxed structure of La8P3SI4.

**ΔE_f (raw)**: -1.50 eV/atom

extended XYZ file:
```
16
Lattice="4.294 2.479 7.786 -4.294 2.479 7.786 0.000 -4.958 7.786" Properties=species:S:1:pos:R:3 pbc="T T T"
La 0.000 0.000 5.392
La -2.139 -1.235 13.169
La 0.000 -2.470 10.189
La -2.139 1.235 10.189
La 2.139 -1.235 13.169
La 0.000 2.470 13.169
La 2.139 1.235 10.189
La 0.000 0.000 17.966
P -4.294 0.000 11.679
P -2.147 1.239 3.893
P 2.147 1.239 3.893
S 0.000 0.000 11.679
I 0.000 0.000 0.000
I -2.147 -1.239 7.786
I -2.147 1.239 15.572
I 0.000 2.479 7.786
```

---

DFT (PBE) results for a relaxed structure of LaPS2I.

**ΔE_f (raw)**: 0.19 eV/atom
**Polymorph energy (0 for the lowest one)**: 0.197 eV/atom

extended XYZ file:
```
5
Lattice="5.411 0.000 0.000 0.000 5.411 0.000 0.000 0.000 6.248" Properties=species:S:1:pos:R:3 pbc="T T T"
La 0.000 0.000 0.000
P 0.000 0.000 3.124
S 0.000 2.705 0.000
S 2.705 0.000 0.000
I 2.705 2.705 3.124
```

---

DFT (PBE) results for a relaxed structure of La8SbP3I4.

**ΔE_f (raw)**: -1.39 eV/atom

extended XYZ file:
```
16
Lattice="4.404 2.542 7.761 -4.404 2.542 7.761 0.000 -5.085 7.761" Properties=species:S:1:pos:R:3 pbc="T T T"
La -2.352 -1.358 13.187
La 0.000 0.000 5.367
La 0.000 -2.715 10.095
La -2.352 1.358 10.095
La 2.352 -1.358 13.187
La 0.000 2.715 13.187
La 0.000 0.000 17.915
La 2.352 1.358 10.095
Sb 0.000 0.000 11.641
P -4.404 0.000 11.641
P -2.202 1.271 3.880
P 2.202 1.271 3.880
I 0.000 0.000 0.000
I -2.202 -1.271 7.761
I -2.202 1.271 15.521
I 0.000 2.542 7.761
```

---

DFT (PBE) results for a relaxed structure of LaSbPI2.

**ΔE_f (raw)**: 0.11 eV/atom
**Polymorph energy (0 for the lowest one)**: 0.265 eV/atom

extended XYZ file:
```
5
Lattice="6.211 0.000 0.000 0.000 6.211 0.000 0.000 0.000 6.634" Properties=species:S:1:pos:R:3 pbc="T T T"
La 0.000 0.000 0.000
Sb 0.000 0.000 3.317
P 3.106 3.106 3.317
I 0.000 3.106 0.000
I 3.106 0.000 0.000
```

---

DFT (PBE) results for a relaxed structure of La6SbP2I3.

**ΔE_f (raw)**: -1.36 eV/atom

extended XYZ file:
```
12
Lattice="3.827 -6.630 0.000 3.827 6.630 0.000 -2.557 0.000 7.763" Properties=species:S:1:pos:R:3 pbc="T T T"
La -0.090 2.354 6.208
La 1.105 0.000 1.535
La -0.090 -2.354 6.208
La 5.188 2.354 1.555
La 3.992 0.000 6.228
La 5.188 -2.354 1.555
Sb 3.827 0.000 0.000
P 3.827 4.411 0.000
P 3.827 -4.411 0.000
I -1.278 0.000 3.882
I 2.549 2.124 3.882
I 2.549 -2.124 3.882
```

---

DFT (PBE) results for a relaxed structure of LaSbPI2.

**ΔE_f (raw)**: -0.16 eV/atom
**Polymorph energy (0 for the lowest one)**: 0.000 eV/atom

extended XYZ file:
```
5
Lattice="5.279 0.000 0.000 0.000 5.279 0.000 0.000 0.000 5.736" Properties=species:S:1:pos:R:3 pbc="T T T"
La 0.000 0.000 0.000
Sb 2.639 2.639 0.000
P 2.639 2.639 2.868
I 0.000 2.639 2.868
I 2.639 0.000 2.868
```

---

DFT (PBE) results for a relaxed structure of LaSb2PI.

**ΔE_f (raw)**: -0.11 eV/atom
**Polymorph energy (0 for the lowest one)**: 0.000 eV/atom

extended XYZ file:
```
5
Lattice="5.301 0.000 0.000 0.000 5.301 0.000 0.000 0.000 5.382" Properties=species:S:1:pos:R:3 pbc="T T T"
La 0.000 0.000 0.000
Sb 0.000 2.650 2.691
Sb 2.650 0.000 2.691
P 2.650 2.650 2.691
I 2.650 2.650 0.000
```

---

DFT (PBE) results for a relaxed structure of La6Sb3P2I.

**ΔE_f (raw)**: -1.36 eV/atom

extended XYZ file:
```
12
Lattice="9.773 -2.245 0.000 9.773 2.245 0.000 -1.951 0.000 8.826" Properties=species:S:1:pos:R:3 pbc="T T T"
La -0.295 0.000 2.374
La 4.607 0.000 7.873
La 5.575 0.000 3.774
La 12.021 0.000 5.052
La 12.989 0.000 0.954
La 17.891 0.000 6.453
Sb 1.483 0.000 7.371
Sb 8.798 0.000 4.413
Sb 16.113 0.000 1.456
P 2.650 0.000 2.957
P 14.946 0.000 5.870
I 9.773 0.000 0.000
```

---

DFT (PBE) results for a relaxed structure of LaSb2PI.

**ΔE_f (raw)**: 0.65 eV/atom
**Polymorph energy (0 for the lowest one)**: 0.759 eV/atom

extended XYZ file:
```
5
Lattice="6.300 0.000 0.000 0.000 6.300 0.000 0.000 0.000 6.195" Properties=species:S:1:pos:R:3 pbc="T T T"
La 0.000 0.000 0.000
Sb 0.000 3.150 0.000
Sb 3.150 0.000 0.000
P 3.150 3.150 3.097
I 0.000 0.000 3.097
```

---

DFT (PBE) results for a relaxed structure of La8PSe3I4.

**ΔE_f (raw)**: -1.50 eV/atom

extended XYZ file:
```
16
Lattice="4.311 2.489 7.845 -4.311 2.489 7.845 0.000 -4.978 7.845" Properties=species:S:1:pos:R:3 pbc="T T T"
La 0.000 0.000 5.538
La -2.081 -1.201 13.348
La 0.000 -2.403 10.187
La -2.081 1.201 10.187
La 2.081 -1.201 13.348
La 0.000 2.403 13.348
La 2.081 1.201 10.187
La 0.000 0.000 17.997
P 0.000 0.000 11.768
Se -4.311 0.000 11.768
Se -2.155 1.244 3.923
Se 2.155 1.244 3.923
I 0.000 0.000 0.000
I -2.155 -1.244 7.845
I -2.155 1.244 15.690
I 0.000 2.489 7.845
```